# 1
Material: Nb3CdRu
Method: DFT, PBE
State: relaxed

POSCAR file:
```
Nb3CdRu
1.0
4.828 0.000 0.000
0.000 4.828 0.000
0.000 0.000 4.828
Nb Cd Ru
3 1 1
Direct
0.000 0.000 0.500
0.000 0.500 0.000
0.500 0.000 0.000
0.500 0.500 0.500
0.000 0.000 0.000
```

Computed properties:
As for the space group: Pm-3m, No. 221. The crystal system is cubic. The formation energy from the elements is 4.40 eV per formula unit.

---

# 2
Material: Ti6Pd3C
Method: DFT, PBE
State: relaxed

POSCAR file:
```
Ti6Pd3C
1.0
5.416 0.000 0.000
0.000 7.340 0.000
-5.073 0.000 7.962
Ti Pd C
12 6 2
Direct
0.057 0.090 0.225
0.057 0.410 0.725
0.267 0.730 0.603
0.267 0.770 0.103
0.367 0.142 0.033
0.367 0.358 0.533
0.633 0.642 0.467
0.633 0.858 0.967
0.733 0.230 0.897
0.733 0.270 0.397
0.943 0.590 0.275
0.943 0.910 0.775
0.245 0.080 0.678
0.245 0.420 0.178
0.500 0.000 0.500
0.500 0.500 0.000
0.755 0.580 0.822
0.755 0.920 0.322
0.000 0.000 0.000
0.000 0.500 0.500
```

Computed properties:
As for the space group: P2_1/c, No. 14. The crystal system is monoclinic. The formation energy from the elements is -3.99 eV per formula unit.

---

# 3
Material: Sn2Sb2Pb
Method: DFT, PBE
State: relaxed

POSCAR file:
```
Sn2Sb2Pb
1.0
8.658 0.000 0.000
0.000 8.658 0.000
0.000 0.000 3.965
Sn Sb Pb
4 4 2
Direct
0.144 0.356 0.000
0.356 0.856 0.000
0.644 0.144 0.000
0.856 0.644 0.000
0.153 0.653 0.500
0.347 0.153 0.500
0.653 0.847 0.500
0.847 0.347 0.500
0.000 0.000 0.500
0.500 0.500 0.500
```

Computed properties:
The formation energy (no corrections) comes out at 0.41 eV per formula unit. As for the space group: P4/mbm, No. 127. The energy above the lowest structure with this stoichiometry is 0.096 eV per atom. The crystal system is tetragonal.

---

# 4
Material: NaTlSn
Method: DFT, PBE
State: relaxed

POSCAR file:
```
NaTlSn
1.0
5.493 0.000 0.000
-2.747 4.757 0.000
0.000 0.000 11.034
Na Tl Sn
2 2 2
Direct
0.333 0.667 0.250
0.667 0.333 0.750
0.000 0.000 0.250
0.000 0.000 0.750
0.000 0.000 0.000
0.000 0.000 0.500
```

Computed properties:
As for the space group: P6_3/mmc, No. 194. The crystal system is hexagonal. The formation energy from the elements is 1.47 eV per formula unit.